No. 1
First-principles (PBE) data for K4Np3TiTe8 after structural relaxation, as listed in Alexandria.

Output
crystal system = trigonal
space group = R-3m, No. 166

abc: 8.882 9.722 8.882
angles: 117.17 120.00 90.00
Fractional positions:
K: 0.000 0.000 0.500
Te: 0.774 0.297 0.023
K: 0.500 0.000 0.000
Te: 0.262 0.286 0.524
Te: 0.775 0.297 0.549
K: 0.500 0.000 0.500
K: 0.000 0.000 0.000
Np: 0.500 0.500 0.500
Te: 0.738 0.714 0.476
Ti: 0.000 0.500 0.000
Np: 0.500 0.500 0.000
Te: 0.752 0.703 0.977
Te: 0.248 0.297 0.023
Te: 0.225 0.703 0.451
Te: 0.226 0.703 0.977
Np: 0.000 0.500 0.500


No. 2
First-principles (PBE) data for K3Np3TlTe8 after structural relaxation, as listed in Alexandria.

Output
crystal system = trigonal
space group = R-3m, No. 166

abc: 9.111 9.114 9.667
angles: 118.12 89.99 120.00
Fractional positions:
Tl: 0.000 0.000 0.500
Te: 0.251 0.502 0.710
Te: 0.251 0.959 0.710
Te: 0.292 0.041 0.290
Te: 0.708 0.959 0.710
K: 0.000 0.500 0.000
Te: 0.749 0.498 0.290
Te: 0.749 0.041 0.290
Np: 0.500 0.500 0.500
Te: 0.736 0.473 0.709
Te: 0.264 0.527 0.291
Np: 0.500 0.000 0.500
K: 0.000 0.000 0.000
K: 0.500 0.500 0.000
Np: 0.000 0.500 0.500


No. 3
First-principles (PBE) data for KNp2Tl3Te6 after structural relaxation, as listed in Alexandria.

Output
crystal system = monoclinic
space group = C2/m, No. 12

abc: 4.521 9.768 10.679
angles: 104.71 102.22 90.00
Fractional positions:
Np: 0.828 0.665 0.656
Te: 0.973 0.727 0.946
Te: 0.326 0.443 0.651
Tl: 0.500 0.500 0.000
Te: 0.674 0.557 0.349
Te: 0.323 0.877 0.646
K: 0.500 0.000 0.000
Np: 0.172 0.335 0.344
Te: 0.027 0.273 0.054
Te: 0.677 0.123 0.354
Tl: 0.158 0.831 0.317
Tl: 0.842 0.169 0.683


What are the uncorrected formation energy values for these records? In order: -865 -737 -566 meV/atom.
What are the uncorrected energy values for these records? In order: -90.09 -80.66 -59.71 eV for the cell shown.